A geometry-optimized RbCo2H structure. Source: Alexandria, functional GGA-PBE.

Properties
- Density: 5.3 g/cm3
- Magnetization: 2.931 μB/f.u.
- Density of states at the Fermi level: 9.58 states/eV/f.u.
- E_tot: -2.64 eV/atom

a = 4.478 Å, b = 4.478 Å, c = 4.478 Å
α = 60.00°, β = 60.00°, γ = 60.00°
Site moments in Bohr magnetons follow the coordinates.
Fractional positions:
1 Rb 0.500 0.500 0.500  -0.02
2 H 0.000 0.000 0.000  0.03
3 Co 0.250 0.250 0.250  1.54
4 Co 0.750 0.750 0.750  1.54